[1]
# Cs2CoOsCl6

A relaxed structure of Cs2CoOsCl6 (PBE-GGA, the Alexandria database).

```
10
Lattice="-2.045 0.330 6.749 -5.526 -4.138 -1.473 -1.020 -5.967 3.675" Properties=species:S:1:pos:R:3 pbc="T T T"
Cs -3.425 -3.771 6.531
Cs -5.166 -6.005 2.420
Co -3.786 -1.904 2.638
Os 0.000 0.000 0.000
Cl -2.361 -3.997 3.172
Cl -6.230 -5.779 5.779
Cl -1.847 -0.929 1.287
Cl -5.724 -2.879 3.989
Cl -2.895 -0.761 4.743
Cl -4.677 -3.048 0.533
```

Summary:
Fermi-level density of states   1.381 states/eV per atom
Space-group type   I4/mmm (139)
Energy   -39.47 eV/cell

***

[2]
# Ac3Ge

A relaxed structure of Ac3Ge (PBE-GGA, the Alexandria database).

```
4
Lattice="-5.640 -0.525 1.645 -4.194 -0.817 -4.066 -2.722 -5.216 -0.423" Properties=species:S:1:pos:R:3 pbc="T T T"
Ac 0.000 0.000 0.000
Ac -9.417 -4.918 -2.134
Ac -3.139 -1.639 -0.711
Ge -6.278 -3.279 -1.422
```

Summary:
DFT formation energy   0.18 eV/f.u.
Fermi-level density of states   1.487 states/eV per atom
Space-group type   Fm-3m (225)

***

[3]
# Li2MgTiW

A relaxed structure of Li2MgTiW (PBE-GGA, the Alexandria database).

```
5
Lattice="-3.722 1.199 -2.671 1.273 -3.641 -3.407 -2.684 -3.124 2.337" Properties=species:S:1:pos:R:3 pbc="T T T"
Mg 0.636 -1.821 -1.703
Li -1.342 -1.562 1.168
Li -1.861 0.599 -1.336
W 0.000 0.000 0.000
Ti -2.566 -2.783 -1.871
```

Summary:
DFT formation energy   8.15 eV/f.u.
Fermi-level density of states   0.804 states/eV per atom
Space-group type   P4/mmm (123)

***

[4]
# Sc2TaRe

A relaxed structure of Sc2TaRe (PBE-GGA, the Alexandria database).

```
4
Lattice="5.531 -0.006 -0.010 -2.633 4.864 -0.010 0.442 0.740 2.734" Properties=species:S:1:pos:R:3 pbc="T T T"
Re -1.096 2.802 1.362
Sc 0.000 0.000 0.000
Sc 1.449 2.429 -0.010
Ta 2.986 0.367 1.362
```

Summary:
DFT formation energy   0.50 eV/f.u.
Fermi-level density of states   1.381 states/eV per atom
Space-group type   C2/m (12)

***

[5]
# Cr2FeP

A relaxed structure of Cr2FeP (PBE-GGA, the Alexandria database).

```
4
Lattice="2.575 -0.001 0.000 -0.821 2.440 0.000 0.000 0.000 7.329" Properties=species:S:1:pos:R:3 pbc="T T T"
Cr 0.000 0.000 7.246
Cr 0.877 1.219 1.823
Fe 0.000 0.000 3.781
P 0.877 1.219 5.471
```

Summary:
DFT formation energy   0.35 eV/f.u.
Fermi-level density of states   0.976 states/eV per atom
Space-group type   Cmm2 (35)

***

[6]
# Cs3Ho2NpS6

A relaxed structure of Cs3Ho2NpS6 (PBE-GGA, the Alexandria database).

```
12
Lattice="-3.518 -1.715 5.968 -1.654 -3.208 -6.156 7.141 -4.121 1.605" Properties=species:S:1:pos:R:3 pbc="T T T"
Cs 1.605 -5.019 -3.325
Cs 0.365 -4.026 4.741
Cs 0.985 -4.522 0.708
Ho -2.276 -2.710 -2.107
Ho -2.895 -2.214 1.918
Np 0.000 0.000 0.000
S 1.549 -6.918 3.214
S -2.442 -4.307 0.155
S 0.421 -2.127 -1.798
S 2.178 -7.421 -0.876
S 4.412 -4.738 1.261
S -0.208 -1.624 2.292
```

Summary:
Fermi-level density of states   0.652 states/eV per atom
Space-group type   C2/m (12)
Energy   -69.26 eV/cell

***

[7]
# PaSn2PbN

A relaxed structure of PaSn2PbN (PBE-GGA, the Alexandria database).

```
10
Lattice="3.839 0.000 0.000 0.000 3.839 0.000 0.000 0.000 18.339" Properties=species:S:1:pos:R:3 pbc="T T T"
Pa 1.920 0.000 10.373
Pa 0.000 1.920 7.966
Sn 0.000 1.920 12.406
Sn 0.000 1.920 0.953
Sn 1.920 0.000 17.386
Sn 1.920 0.000 5.933
Pb 1.920 0.000 2.883
Pb 0.000 1.920 15.456
N 0.000 0.000 9.170
N 1.920 1.920 9.170
```

Summary:
Fermi-level density of states   0.614 states/eV per atom
Space-group type   P4/nmm (129)
Energy   -64.81 eV/cell

***

[8]
# HgTe2Pt

A relaxed structure of HgTe2Pt (PBE-GGA, the Alexandria database).

```
8
Lattice="6.053 1.776 -12.055 -7.923 1.120 11.004 3.069 2.684 1.936" Properties=species:S:1:pos:R:3 pbc="T T T"
Te -4.214 1.929 6.635
Te 5.413 3.651 -5.749
Te 5.239 2.373 -8.962
Te -4.040 3.207 9.848
Hg -6.664 1.814 10.678
Hg 7.864 3.766 -9.792
Pt -2.828 1.994 4.348
Pt 4.027 3.586 -3.462
```

Summary:
Fermi-level density of states   0.319 states/eV per atom
Space-group type   Cmcm (63)
Energy   -25.71 eV/cell